10
Lattice="2.308 -13.560 0.000 2.308 13.560 0.000 0.000 0.000 4.436" Properties=species:S:1:pos:R:3 comment="AcPmAl3 (PBE, optimized geometry)" ef_kj_per_mol_atoms=-36 total_energy_ev_per_atom=-4.39 pbc="T T T"
Ac 2.308 11.543 3.327
Ac 2.308 -11.543 1.109
Pm 2.308 8.023 1.109
Pm 2.308 -8.023 3.327
Al 2.308 4.761 1.109
Al 2.308 3.304 3.327
Al 2.308 0.662 3.327
Al 2.308 -0.662 1.109
Al 2.308 -3.304 1.109
Al 2.308 -4.761 3.327